Record 1
The following is a DFT calculation (PBE) of an optimized crystal structure of Y6HoEr2.

Cell lengths 9.0217, 9.4924, 9.4924 Å; angles 76.14, 57.29, 57.29 degrees
Fractional coordinates of all 18 atoms:
Y: 0.1007 0.8425 0.1019
Y: 0.6999 0.5553 0.8873
Er: 0.4495 0.9101 0.7161
Er: 0.0505 0.2839 0.0899
Y: 0.1999 0.8873 0.5553
Y: 0.8993 0.1575 0.8981
Y: 0.5174 0.4803 0.3092
Y: 0.9826 0.6908 0.5197
Ho: 0.2500 0.3261 0.6739
Er: 0.5505 0.0899 0.2839
Y: 0.3001 0.4447 0.1127
Y: 0.8001 0.1127 0.4447
Y: 0.6007 0.1019 0.8425
Y: 0.0174 0.3092 0.4803
Er: 0.9495 0.7161 0.9101
Ho: 0.7500 0.6739 0.3261
Y: 0.3993 0.8981 0.1575
Y: 0.4826 0.5197 0.6908

Properties
Energy relative to the lowest polymorph listed for this composition   0.046 eV per atom
SG   No. 15
Formation enthalpy at 0 K   0.07 eV per atom


Record 2
The following is a DFT calculation (PBE) of an optimized crystal structure of Y4HoEr3.

Cell lengths 6.2665, 7.2532, 11.2059 Å; angles 90.00, 90.00, 90.00 degrees
Fractional coordinates of all 16 atoms:
Er: 0.1492 0.3769 0.5000
Er: 0.6492 0.6231 0.0000
Ho: 0.6495 0.6227 0.5000
Y: 0.6457 0.1266 0.5000
Y: 0.1457 0.8734 0.0000
Y: 0.4827 0.8731 0.7503
Er: 0.9796 0.6230 0.2499
Ho: 0.1495 0.3773 0.0000
Y: 0.4827 0.8731 0.2497
Er: 0.9796 0.6230 0.7501
Er: 0.4796 0.3770 0.2501
Y: 0.9827 0.1269 0.2503
Y: 0.9827 0.1269 0.7497
Y: 0.6463 0.1274 0.0000
Y: 0.1463 0.8726 0.5000
Er: 0.4796 0.3770 0.7499

Properties
Energy relative to the lowest polymorph listed for this composition   0.000 eV per atom
SG   No. 31
Formation enthalpy at 0 K   0.00 eV per atom


Record 3
The following is a DFT calculation (PBE) of an optimized crystal structure of Y7Ho12Er.

Cell lengths 6.6790, 10.9100, 10.9100 Å; angles 64.05, 78.23, 101.77 degrees
Fractional coordinates of all 20 atoms:
Y: 0.3815 0.3055 0.8377
Ho: 0.4895 0.2136 0.5716
Ho: 0.7241 0.7852 0.7864
Y: 0.7808 0.1623 0.1432
Y: 0.2192 0.8377 0.8568
Er: 0.0000 0.0000 0.0000
Ho: 0.2098 0.9404 0.5374
Y: 0.9240 0.1432 0.6945
Ho: 0.2528 0.4626 0.4778
Ho: 0.0610 0.5716 0.2148
Y: 0.6185 0.6945 0.1623
Ho: 0.2759 0.2148 0.2136
Ho: 0.7472 0.5374 0.5222
Y: 0.5000 0.0000 0.0000
Y: 0.0760 0.8568 0.3055
Ho: 0.7902 0.0596 0.4626
Ho: 0.7307 0.4778 0.0596
Ho: 0.5105 0.7864 0.4284
Ho: 0.2693 0.5222 0.9404
Ho: 0.9390 0.4284 0.7852

Properties
Energy relative to the lowest polymorph listed for this composition   0.026 eV per atom
SG   No. 148
Formation enthalpy at 0 K   0.33 eV per atom


Record 4
The following is a DFT calculation (PBE) of an optimized crystal structure of YHo2Er.

Cell lengths 5.6437, 5.6437, 5.6437 Å; angles 60.00, 60.00, 60.00 degrees
Last column: magnetic moment on the atom in μB.
Fractional coordinates of all 4 atoms:
Ho: 0.2500 0.2500 0.2500  0.05
Er: 0.0000 0.0000 0.0000  0.05
Y: 0.5000 0.5000 0.5000  0.04
Ho: 0.7500 0.7500 0.7500  0.05

Properties
Energy relative to the lowest polymorph listed for this composition   0.139 eV per atom
SG   No. 225
Formation enthalpy at 0 K   0.14 eV per atom


Record 5
The following is a DFT calculation (PBE) of an optimized crystal structure of Y12Ho3Er.

Cell lengths 5.0334, 5.0334, 20.1295 Å; angles 90.00, 90.00, 90.00 degrees
Fractional coordinates of all 16 atoms:
Ho: 0.0000 0.0000 0.7501
Y: 0.5000 0.0000 0.6251
Y: 0.5000 0.0000 0.3749
Er: 0.0000 0.0000 0.0000
Ho: 0.0000 0.0000 0.2499
Y: 0.5000 0.0000 0.1249
Y: 0.5000 0.5000 0.7501
Y: 0.0000 0.5000 0.8751
Y: 0.0000 0.5000 0.3749
Y: 0.0000 0.5000 0.1249
Y: 0.0000 0.5000 0.6251
Y: 0.5000 0.5000 0.2499
Ho: 0.0000 0.0000 0.5000
Y: 0.5000 0.0000 0.8751
Y: 0.5000 0.5000 0.5000
Y: 0.5000 0.5000 0.0000

Properties
SG   No. 123
Formation enthalpy at 0 K   0.02 eV per atom


Record 6
The following is a DFT calculation (PBE) of an optimized crystal structure of Y4Ho2Er5.

Cell lengths 3.5304, 4.9985, 20.9125 Å; angles 111.02, 94.84, 90.00 degrees
Fractional coordinates of all 11 atoms:
Er: 0.1364 0.9087 0.2727
Y: 0.3180 0.4545 0.6361
Y: 0.9544 0.3635 0.9088
Er: 0.5000 0.0000 0.0000
Er: 0.8636 0.0913 0.7273
Y: 0.6820 0.5455 0.3639
Ho: 0.4087 0.7264 0.8173
Ho: 0.5913 0.2736 0.1827
Er: 0.7724 0.8175 0.5449
Er: 0.2276 0.1825 0.4551
Y: 0.0456 0.6365 0.0912

Properties
Energy relative to the lowest polymorph listed for this composition   0.000 eV per atom
SG   No. 71
Formation enthalpy at 0 K   0.03 eV per atom


Record 7
The following is a DFT calculation (PBE) of an optimized crystal structure of YHo9Er2.

Cell lengths 4.9884, 4.9884, 14.9569 Å; angles 90.00, 90.00, 90.00 degrees
Fractional coordinates of all 12 atoms:
Y: 0.0000 0.0000 0.0000
Ho: 0.5000 0.0000 0.8321
Ho: 0.5000 0.5000 0.0000
Er: 0.0000 0.0000 0.3339
Ho: 0.5000 0.0000 0.1679
Er: 0.0000 0.0000 0.6661
Ho: 0.0000 0.5000 0.5000
Ho: 0.0000 0.5000 0.8321
Ho: 0.0000 0.5000 0.1679
Ho: 0.5000 0.5000 0.3340
Ho: 0.5000 0.5000 0.6660
Ho: 0.5000 0.0000 0.5000

Properties
Energy relative to the lowest polymorph listed for this composition   0.000 eV per atom
SG   No. 123
Formation enthalpy at 0 K   0.02 eV per atom


Record 8
The following is a DFT calculation (PBE) of an optimized crystal structure of Y2Ho7Er.

Cell lengths 3.4830, 15.0721, 15.0721 Å; angles 156.63, 89.92, 89.92 degrees
Fractional coordinates of all 10 atoms:
Ho: 0.7302 0.1457 0.3443
Y: 0.5000 0.7924 0.2076
Er: 0.0000 0.0000 0.0000
Ho: 0.7302 0.3443 0.1457
Ho: 0.2698 0.8543 0.6557
Y: 0.5000 0.2076 0.7924
Ho: 0.0000 0.3095 0.6905
Ho: 0.0000 0.6905 0.3095
Ho: 0.5000 0.5000 0.5000
Ho: 0.2698 0.6557 0.8543

Properties
Energy relative to the lowest polymorph listed for this composition   0.000 eV per atom
SG   No. 12
Formation enthalpy at 0 K   0.12 eV per atom


Record 9
The following is a DFT calculation (PBE) of an optimized crystal structure of Y3Ho3Er.

Cell lengths 6.1616, 6.1616, 14.5401 Å; angles 77.77, 77.77, 60.00 degrees
Fractional coordinates of all 14 atoms:
Er: 0.3333 0.3333 0.0000
Y: 0.4003 0.0663 0.8007
Ho: 0.5356 0.1983 0.3994
Y: 0.2673 0.5997 0.1993
Ho: 0.1983 0.8667 0.3994
Ho: 0.4644 0.8017 0.6006
Er: 0.6667 0.6667 0.0000
Ho: 0.1333 0.4644 0.6006
Y: 0.9337 0.2673 0.1993
Y: 0.7327 0.4003 0.8007
Ho: 0.8017 0.1333 0.6006
Y: 0.0663 0.7327 0.8007
Y: 0.5997 0.9337 0.1993
Ho: 0.8667 0.5356 0.3994

Properties
Energy relative to the lowest polymorph listed for this composition   0.000 eV per atom
SG   No. 148
Formation enthalpy at 0 K   0.14 eV per atom


Number 1: D(E_F) 1.527 states/eV/atom. Number 2: D(E_F) 1.746 states/eV/atom. Number 3: D(E_F) 1.459 states/eV/atom. Number 4: D(E_F) 2.707 states/eV/atom. Number 5: D(E_F) 1.390 states/eV/atom. Number 6: D(E_F) 1.418 states/eV/atom. Number 7: D(E_F) 1.497 states/eV/atom. Number 8: D(E_F) 1.606 states/eV/atom. Number 9: D(E_F) 1.426 states/eV/atom.